This record from Alexandria via LeMat-Bulk describes a relaxed Co3TeF crystal. The functional is PBE+U.

Cell and atoms, written as CIF:
```
data_Co3TeF
_chemical_formula_sum 'Co3 Te1 F1'
_cell_length_a 4.3078
_cell_length_b 4.3078
_cell_length_c 4.3078
_cell_angle_alpha 90.00
_cell_angle_beta 90.00
_cell_angle_gamma 90.00
_symmetry_space_group_name_H-M 'P m -3 m'
_symmetry_Int_Tables_number 221
_symmetry_space_group_name_Hall '-P 4 2 3'
loop_
_atom_site_label
_atom_site_type_symbol
_atom_site_fract_x
_atom_site_fract_y
_atom_site_fract_z
_atom_site_occupancy
Co1 Co 0.0000 0.0000 0.5000 1
Te1 Te 0.5000 0.5000 0.5000 1
F1 F 0.0000 0.0000 0.0000 1
```

M_tot, μB/cell: 6.1
E above lowest polymorph, eV/atom: 0.000